[1]
A relaxed Sc4ZnSbC2 crystal. Source: OQMD, functional PBE.

Unit cell a=3.3663 b=3.3663 c=14.4434 alpha=90.00 beta=90.00 gamma=120.00
Last column: nearest neighbours and their distance in Å.
Space group P-6m2 (No. 187)
Inequivalent atoms, fractional coordinates:
Sc: 0.0000 0.0000 0.1636 x2  3 C 2.31
Sc: 0.6667 0.3333 0.3317 x2  3 C 2.28
Zn: 0.6667 0.3333 0.0000 x1  6 Sc 3.06, 6 Zn 3.37
Sb: 0.0000 0.0000 0.5000 x1  6 Sc 3.11, 6 Sb 3.37
C: 0.3333 0.6667 0.2498 x2  6 Sc 2.28-2.31

Computed properties:
Crystal system: hexagonal
Calculated total energy in eV per atom: -6.70
Mass density in Mg/m³: 4.581

[2]
A relaxed Zr2Sc4Sb3C3 crystal. Source: OQMD, functional PBE.

Unit cell a=10.2575 b=5.9221 c=14.6558 alpha=90.00 beta=103.51 gamma=90.00
Last column: nearest neighbours and their distance in Å.
Space group C2/c (No. 15)
Inequivalent atoms, fractional coordinates:
Zr: 0.0565 0.0849 0.4151 x8  3 C 2.30
Sc: 0.1117 0.4197 0.5851 x8  3 C 2.32-2.33
Sc: 0.2202 0.4147 0.9149 x8  3 C 2.32-2.33
Sb: 0.0000 0.4209 0.2500 x4  4 Sc 3.06, 2 Zr 3.08, 4 Sb 3.40
Sb: 0.1681 0.0846 0.7495 x8  4 Sc 3.06-3.07, 2 Zr 3.08-3.09, 4 Sb 3.40
C: 0.0814 0.2446 0.0000 x8  2 Zr 2.30, 4 Sc 2.32-2.33
C: 0.2500 0.2500 0.5000 x4  2 Zr 2.30, 4 Sc 2.32-2.33

Computed properties:
Crystal system: monoclinic
Calculated total energy in eV per atom: -7.63
Mass density in Mg/m³: 5.859

[3]
A relaxed Zr4Sc2Sb3C3 crystal. Source: OQMD, functional PBE.

Unit cell a=10.2770 b=5.9311 c=14.6369 alpha=90.00 beta=103.53 gamma=90.00
Last column: nearest neighbours and their distance in Å.
Space group C2/c (No. 15)
Inequivalent atoms, fractional coordinates:
Zr: 0.1119 0.0864 0.0858 x8  3 C 2.32
Zr: 0.2230 0.0820 0.4142 x8  3 C 2.32
Sc: 0.0532 0.4180 0.9146 x8  3 C 2.33-2.34
Sb: 0.0000 0.0862 0.7500 x4  2 Sc 3.06, 4 Zr 3.07, 2 Sb 3.38
Sb: 0.1642 0.4203 0.2504 x8  2 Sc 3.04-3.05, 4 Zr 3.06-3.08, 2 Sb 3.37-3.38
C: 0.0845 0.2469 0.5000 x8  4 Zr 2.32, 2 Sc 2.33
C: 0.2500 0.2500 0.0000 x4  4 Zr 2.32, 2 Sc 2.34

Computed properties:
Crystal system: monoclinic
Calculated total energy in eV per atom: -8.02
Mass density in Mg/m³: 6.556

[4]
A relaxed ZrSc3Sb2C2 crystal. Source: OQMD, functional PBE.

Unit cell a=3.4152 b=3.4152 c=14.3253 alpha=90.00 beta=90.00 gamma=120.00
Last column: nearest neighbours and their distance in Å.
Space group P3m1 (No. 156)
Inequivalent atoms, fractional coordinates:
Zr: 0.0000 0.0000 0.0000 x1  3 C 2.32
Sc: 0.0000 0.0000 0.6689 x1  3 C 2.30
Sc: 0.3333 0.6667 0.1703 x1  3 C 2.32
Sc: 0.3333 0.6667 0.5023 x1  3 C 2.31
Sb: 0.0000 0.0000 0.3358 x1  6 Sc 3.08-3.09, 6 Sb 3.42
Sb: 0.3333 0.6667 0.8362 x1  3 Zr 3.06, 3 Sc 3.10, 6 Sb 3.42
C: 0.6667 0.3333 0.0850 x1  3 Zr 2.32, 3 Sc 2.32
C: 0.6667 0.3333 0.5860 x1  6 Sc 2.30-2.31

Computed properties:
Crystal system: trigonal
Calculated total energy in eV per atom: -7.53
Mass density in Mg/m³: 5.665

[5]
A relaxed TaSbCSe2 crystal. Source: OQMD, functional PBE.

Unit cell a=3.4990 b=3.4990 c=10.7084 alpha=90.00 beta=90.00 gamma=120.00
Last column: nearest neighbours and their distance in Å.
Space group P3m1 (No. 156)
Inequivalent atoms, fractional coordinates:
Ta: 0.0000 0.0000 0.0000 x1  3 C 2.20
Sb: 0.3333 0.6667 0.2725 x1  3 Se 2.71, 3 C 2.87
C: 0.6667 0.3333 0.0820 x1  3 Ta 2.20
Se: 0.0000 0.0000 0.4418 x1  3 Sb 2.71
Se: 0.3333 0.6667 0.8358 x1  3 Ta 2.68

Computed properties:
Crystal system: trigonal
Calculated total energy in eV per atom: -6.41
Mass density in Mg/m³: 6.913

[6]
A relaxed Tm4SbC2Se crystal. Source: OQMD, functional PBE.

Unit cell a=3.6565 b=3.6565 c=13.9513 alpha=90.00 beta=90.00 gamma=120.00
Last column: nearest neighbours and their distance in Å.
Space group P-6m2 (No. 187)
Inequivalent atoms, fractional coordinates:
Tm: 0.0000 0.0000 0.1410 x2  3 C 2.49
Tm: 0.3333 0.6667 0.3264 x2  3 C 2.46
Sb: 0.0000 0.0000 0.5000 x1  6 Tm 3.21
C: 0.6667 0.3333 0.2356 x2  6 Tm 2.46-2.49
Se: 0.3333 0.6667 0.0000 x1  6 Tm 2.89

Computed properties:
Crystal system: hexagonal
Calculated total energy in eV per atom: -6.43
Mass density in Mg/m³: 9.256

[7]
A relaxed SiSbW4C2 crystal. Source: OQMD, functional PBE.

Unit cell a=3.2114 b=3.2114 c=12.6148 alpha=90.00 beta=90.00 gamma=120.00
Last column: nearest neighbours and their distance in Å.
Space group P-6m2 (No. 187)
Inequivalent atoms, fractional coordinates:
Si: 0.0000 0.0000 0.0000 x1  6 W 2.59
Sb: 0.6667 0.3333 0.5000 x1  6 W 2.94, 6 Sb 3.21
W: 0.0000 0.0000 0.3188 x2  3 C 2.11
W: 0.6667 0.3333 0.1430 x2  3 C 2.21
C: 0.3333 0.6667 0.2383 x2  6 W 2.11-2.21

Computed properties:
Crystal system: hexagonal
Calculated total energy in eV per atom: -9.76
Mass density in Mg/m³: 13.401

[8]
A relaxed Tm4SnSbC2 crystal. Source: OQMD, functional PBE.

Unit cell a=3.5777 b=3.5777 c=15.3143 alpha=90.00 beta=90.00 gamma=120.00
Last column: nearest neighbours and their distance in Å.
Space group P-6m2 (No. 187)
Inequivalent atoms, fractional coordinates:
Tm: 0.0000 0.0000 0.1616 x2  3 C 2.43
Tm: 0.6667 0.3333 0.3317 x2  3 C 2.45
Sn: 0.0000 0.0000 0.5000 x1  6 Tm 3.30, 6 Sn 3.58
Sb: 0.6667 0.3333 0.0000 x1  6 Tm 3.22, 6 Sb 3.58
C: 0.3333 0.6667 0.2455 x2  6 Tm 2.43-2.45

Computed properties:
Crystal system: hexagonal
Calculated total energy in eV per atom: -6.20
Mass density in Mg/m³: 9.197

[9]
A relaxed SnSbW4C2 crystal. Source: OQMD, functional PBE.

Unit cell a=3.2255 b=3.2255 c=13.3333 alpha=90.00 beta=90.00 gamma=120.00
Last column: nearest neighbours and their distance in Å.
Space group P-6m2 (No. 187)
Inequivalent atoms, fractional coordinates:
Sn: 0.0000 0.0000 0.0000 x1  6 W 2.93, 6 Sn 3.23
Sb: 0.3333 0.6667 0.5000 x1  6 W 2.91, 6 Sb 3.23
W: 0.0000 0.0000 0.3324 x2  3 C 2.15
W: 0.3333 0.6667 0.1695 x2  3 C 2.16
C: 0.6667 0.3333 0.2513 x2  6 W 2.15-2.16

Computed properties:
Crystal system: hexagonal
Calculated total energy in eV per atom: -9.47
Mass density in Mg/m³: 13.821

[10]
A relaxed TaSbTe2C crystal. Source: OQMD, functional PBE.

Unit cell a=3.6009 b=3.6009 c=10.9806 alpha=90.00 beta=90.00 gamma=120.00
Last column: nearest neighbours and their distance in Å.
Space group P3m1 (No. 156)
Inequivalent atoms, fractional coordinates:
Ta: 0.0000 0.0000 0.0000 x1  3 C 2.20
Sb: 0.3333 0.6667 0.2492 x1  3 C 2.90, 3 Te 2.96
Te: 0.0000 0.0000 0.4415 x1  3 Sb 2.96
Te: 0.3333 0.6667 0.8183 x1  3 Ta 2.88
C: 0.6667 0.3333 0.0652 x1  3 Ta 2.20

Computed properties:
Crystal system: trigonal
Calculated total energy in eV per atom: -6.03
Mass density in Mg/m³: 7.675

[11]
A relaxed Ta4TlSbC2 crystal. Source: OQMD, functional PBE.

Unit cell a=3.2855 b=3.2855 c=13.7403 alpha=90.00 beta=90.00 gamma=120.00
Last column: nearest neighbours and their distance in Å.
Space group P-6m2 (No. 187)
Inequivalent atoms, fractional coordinates:
Ta: 0.0000 0.0000 0.1603 x2  3 C 2.21
Ta: 0.6667 0.3333 0.3249 x2  3 C 2.20
Tl: 0.0000 0.0000 0.5000 x1  6 Ta 3.06, 6 Tl 3.29
Sb: 0.6667 0.3333 0.0000 x1  6 Ta 2.91
C: 0.3333 0.6667 0.2432 x2  6 Ta 2.20-2.21

Computed properties:
Crystal system: hexagonal
Calculated total energy in eV per atom: -9.30
Mass density in Mg/m³: 13.884

[12]
A relaxed Ta2Sb3W4C3 crystal. Source: OQMD, functional PBE.

Unit cell a=9.8974 b=5.7084 c=13.4312 alpha=90.00 beta=104.44 gamma=90.00
Last column: nearest neighbours and their distance in Å.
Space group C2/c (No. 15)
Inequivalent atoms, fractional coordinates:
Ta: 0.0548 0.0837 0.4122 x8  3 C 2.21-2.22
Sb: 0.0000 0.4314 0.2500 x4  4 W 2.87-2.90, 2 Ta 2.90
Sb: 0.1738 0.0894 0.7503 x8  4 W 2.87-2.90, 2 Ta 2.89-2.90
W: 0.1113 0.4181 0.5805 x8  3 C 2.17-2.18
W: 0.2217 0.4150 0.9190 x8  3 C 2.18
C: 0.0827 0.2487 0.0001 x8  4 W 2.17-2.18, 2 Ta 2.22
C: 0.2500 0.2500 0.5000 x4  4 W 2.17-2.18, 2 Ta 2.21

Computed properties:
Crystal system: monoclinic
Calculated total energy in eV per atom: -9.49
Mass density in Mg/m³: 13.545